No. 1
Sr2Zn | GGA-PBEsol | relaxed

ΔH_f (0 K): -0.021 eV per atom

a = 14.9574 Å, b = 14.9574 Å, c = 14.9574 Å
α = 90.00°, β = 90.00°, γ = 90.00°
Space group Fd-3m (No. 227, origin choice 2)
Asymmetric unit:
Sr1 0.0000 0.0000 0.0000 [16 per cell]
Sr2 0.0650 0.3750 0.8750 [48 per cell]
Zn1 0.0533 0.0533 0.1967 [32 per cell]

=====

No. 2
CrP2 | GGA-PBEsol | relaxed

ΔH_f (0 K): -0.153 eV per atom

a = 2.9756 Å, b = 11.0886 Å, c = 4.2204 Å
α = 90.00°, β = 90.00°, γ = 90.00°
Space group Cmcm (No. 63)
Asymmetric unit:
Cr1 0.0000 0.1041 0.2500 [4 per cell]
P1 0.0000 0.2267 0.7500 [4 per cell]
P2 0.0000 0.4360 0.2500 [4 per cell]

=====

No. 3
ScZn | GGA-PBEsol | relaxed

ΔH_f (0 K): -0.315 eV per atom

a = 3.2909 Å, b = 10.5204 Å, c = 4.2690 Å
α = 90.00°, β = 90.00°, γ = 90.00°
Space group Cmcm (No. 63)
Asymmetric unit:
Sc1 0.0000 0.1569 0.2500 [4 per cell]
Zn1 0.0000 0.4292 0.2500 [4 per cell]

=====

No. 4
Er2AgPt | GGA-PBEsol | relaxed

ΔH_f (0 K): -0.801 eV per atom

a = 6.9189 Å, b = 6.9189 Å, c = 6.9189 Å
α = 90.00°, β = 90.00°, γ = 90.00°
Space group Fm-3m (No. 225)
Asymmetric unit:
Er1 0.2500 0.2500 0.2500 [8 per cell]
Ag1 0.0000 0.0000 0.0000 [4 per cell]
Pt1 0.0000 0.0000 0.5000 [4 per cell]

=====

No. 5
CdMo2Os | GGA-PBEsol | relaxed

ΔH_f (0 K): 0.422 eV per atom

a = 5.4816 Å, b = 8.1740 Å, c = 2.7698 Å
α = 90.00°, β = 90.00°, γ = 90.00°
Space group Cmmm (No. 65)
Asymmetric unit:
Cd1 0.0000 0.0000 0.0000 [2 per cell]
Mo1 0.2500 0.2500 0.5000 [4 per cell]
Os1 0.0000 0.5000 0.0000 [2 per cell]

=====

No. 6
SbPb3 | GGA-PBEsol | relaxed

uncorrected formation energy: 0.03 eV/atom

a = 6.8249 Å, b = 6.8249 Å, c = 5.7265 Å
α = 90.00°, β = 90.00°, γ = 120.00°
Space group P6_3/mmc (No. 194)
Asymmetric unit:
Sb1 0.3333 0.6667 0.2500 [2 per cell]
Pb1 0.1689 0.3378 0.7500 [6 per cell]

=====

No. 7
BaMgCd2 | GGA-PBEsol | relaxed

ΔH_f (0 K): -0.182 eV per atom

a = 3.6921 Å, b = 3.6921 Å, c = 8.0493 Å
α = 90.00°, β = 90.00°, γ = 90.00°
Space group P4/mmm (No. 123)
Asymmetric unit:
Ba1 0.0000 0.0000 0.0000 [1 per cell]
Mg1 0.0000 0.0000 0.5000 [1 per cell]
Cd1 0.5000 0.5000 0.3048 [2 per cell]

=====

No. 8
Sr2TcAu | GGA-PBEsol | relaxed

ΔH_f (0 K): 0.402 eV per atom

a = 7.6152 Å, b = 7.6731 Å, c = 3.4263 Å
α = 90.00°, β = 90.00°, γ = 90.00°
Space group Cmmm (No. 65)
Asymmetric unit:
Sr1 0.2500 0.2500 0.0000 [4 per cell]
Tc1 0.0000 0.0000 0.5000 [2 per cell]
Au1 0.0000 0.5000 0.5000 [2 per cell]

=====

No. 9
SrRu2Pt | GGA-PBEsol | relaxed

ΔH_f (0 K): 0.244 eV per atom

a = 2.8742 Å, b = 2.8742 Å, c = 8.2501 Å
α = 90.00°, β = 90.00°, γ = 90.00°
Space group P4mm (No. 99)
Asymmetric unit:
Sr1 0.0000 0.0000 0.0000 [1 per cell]
Ru1 0.0000 0.0000 0.5147 [1 per cell]
Ru2 0.5000 0.5000 0.7013 [1 per cell]
Pt1 0.5000 0.5000 0.2899 [1 per cell]

=====

No. 10
La2SiH2 | GGA-PBEsol | relaxed

VASP energy: -5.241 eV per atom

a = 3.9659 Å, b = 3.9659 Å, c = 11.3224 Å
α = 90.00°, β = 90.00°, γ = 90.00°
Space group I4/mmm (No. 139)
Asymmetric unit:
La1 0.0000 0.0000 0.1369 [4 per cell]
Si1 0.0000 0.0000 0.5000 [2 per cell]
H1 0.0000 0.5000 0.2500 [4 per cell]

=====

No. 11
CaTe2Pd | GGA-PBEsol | relaxed

uncorrected formation energy: -0.52 eV/atom

a = 7.2084 Å, b = 7.2084 Å, c = 7.2084 Å
α = 90.00°, β = 90.00°, γ = 90.00°
Space group Fm-3m (No. 225)
Asymmetric unit:
Ca1 0.0000 0.0000 0.0000 [4 per cell]
Te1 0.2500 0.2500 0.2500 [8 per cell]
Pd1 0.0000 0.0000 0.5000 [4 per cell]

=====

No. 12
ZrAlAs2 | GGA-PBEsol | relaxed

ΔH_f (0 K): -0.349 eV per atom

a = 3.7615 Å, b = 5.0194 Å, c = 7.8493 Å
α = 90.00°, β = 90.00°, γ = 90.00°
Space group Cmmm (No. 65)
Asymmetric unit:
Zr1 0.0000 0.0000 0.0000 [2 per cell]
Al1 0.0000 0.0000 0.5000 [2 per cell]
As1 0.0000 0.5000 0.2460 [4 per cell]

=====

No. 13
BaSrSb2Te | GGA-PBEsol | relaxed

uncorrected formation energy: 0.07 eV/atom

a = 6.0301 Å, b = 6.0301 Å, c = 6.2169 Å
α = 90.00°, β = 90.00°, γ = 90.00°
Space group P4/mmm (No. 123)
Asymmetric unit:
Ba1 0.0000 0.0000 0.0000 [1 per cell]
Sr1 0.5000 0.5000 0.5000 [1 per cell]
Sb1 0.0000 0.5000 0.0000 [2 per cell]
Te1 0.0000 0.0000 0.5000 [1 per cell]

=====

No. 14
Ag8Sb5As3S16 | GGA-PBEsol | relaxed

uncorrected formation energy: -0.17 eV/atom

a = 5.7976 Å, b = 8.4803 Å, c = 13.4569 Å
α = 97.24°, β = 90.13°, γ = 90.02°
Space group P1 (No. 1)
Asymmetric unit:
Ag1 0.0000 0.0000 0.0000 [1 per cell]
Ag2 0.0016 0.4962 0.5010 [1 per cell]
Ag3 0.0280 0.4069 0.8633 [1 per cell]
Ag4 0.4785 0.4470 0.7197 [1 per cell]
Ag5 0.5030 0.3626 0.0828 [1 per cell]
Ag6 0.5053 0.8600 0.5841 [1 per cell]
Ag7 0.5292 0.9412 0.2210 [1 per cell]
Ag8 0.9778 0.9023 0.3630 [1 per cell]
Sb1 0.0347 0.2662 0.2549 [1 per cell]
Sb2 0.0535 0.6446 0.1440 [1 per cell]
Sb3 0.4576 0.2047 0.4329 [1 per cell]
Sb4 0.5498 0.7111 0.9321 [1 per cell]
Sb5 0.9618 0.1445 0.6528 [1 per cell]
As1 0.4813 0.5918 0.3367 [1 per cell]
As2 0.5242 0.0953 0.8359 [1 per cell]
As3 0.9839 0.7582 0.7460 [1 per cell]
S1 0.0626 0.3502 0.0842 [1 per cell]
S2 0.0968 0.9851 0.1827 [1 per cell]
S3 0.1215 0.6789 0.9567 [1 per cell]
S4 0.1282 0.1119 0.8438 [1 per cell]
S5 0.3786 0.7406 0.7378 [1 per cell]
S6 0.3868 0.1770 0.6248 [1 per cell]
S7 0.4094 0.8500 0.3992 [1 per cell]
S8 0.4405 0.4998 0.4898 [1 per cell]
S9 0.5622 0.0060 0.9902 [1 per cell]
S10 0.5964 0.3537 0.8967 [1 per cell]
S11 0.6108 0.2381 0.2394 [1 per cell]
S12 0.6229 0.6756 0.1215 [1 per cell]
S13 0.8766 0.6080 0.3440 [1 per cell]
S14 0.8843 0.1715 0.4600 [1 per cell]
S15 0.9094 0.4998 0.6847 [1 per cell]
S16 0.9429 0.8502 0.5929 [1 per cell]

=====

No. 15
Fe25Mo4 | GGA-PBEsol | relaxed

ΔH_f (0 K): 0.059 eV per atom

a = 8.5651 Å, b = 8.5651 Å, c = 8.5651 Å
α = 90.00°, β = 90.00°, γ = 90.00°
Space group I-43m (No. 217)
Asymmetric unit:
Fe1 0.0000 0.0000 0.0000 [2 per cell]
Fe2 0.0333 0.3581 0.6419 [24 per cell]
Fe3 0.0903 0.0903 0.7205 [24 per cell]
Mo1 0.1815 0.1815 0.1815 [8 per cell]

=====

No. 16
CoCuHg2 | GGA-PBEsol | relaxed

ΔH_f (0 K): 0.279 eV per atom

a = 6.2298 Å, b = 6.2373 Å, c = 3.1454 Å
α = 90.00°, β = 90.00°, γ = 90.00°
Space group Cmmm (No. 65)
Asymmetric unit:
Co1 0.0000 0.0000 0.0000 [2 per cell]
Cu1 0.0000 0.5000 0.0000 [2 per cell]
Hg1 0.2500 0.2500 0.5000 [4 per cell]

=====

No. 17
Cs2IBr | GGA-PBEsol | relaxed

uncorrected formation energy: -1.54 eV/atom

a = 8.3519 Å, b = 8.3519 Å, c = 16.2285 Å
α = 90.00°, β = 90.00°, γ = 90.00°
Space group I-42d (No. 122)
Asymmetric unit:
Cs1 0.2266 0.2500 0.1250 [8 per cell]
I1 0.0000 0.0000 0.5000 [4 per cell]
Br1 0.0000 0.0000 0.0000 [4 per cell]

=====

No. 18
Li4Mn3Cr2Fe3O16 | GGA-PBEsol | relaxed

uncorrected formation energy: -1.74 eV/atom

a = 9.7024 Å, b = 5.6014 Å, c = 9.2828 Å
α = 90.00°, β = 90.18°, γ = 90.00°
Space group Cm (No. 8)
Asymmetric unit:
Li1 0.0000 0.0000 0.0000 [2 per cell]
Li2 0.0013 0.0000 0.5042 [2 per cell]
Li3 0.1730 0.5000 0.9022 [2 per cell]
Li4 0.3390 0.0000 0.4020 [2 per cell]
Mn1 0.0900 0.2539 0.2203 [4 per cell]
Mn2 0.1731 0.0000 0.7192 [2 per cell]
Cr1 0.1725 0.5000 0.4948 [2 per cell]
Cr2 0.3377 0.0000 0.9921 [2 per cell]
Fe1 0.3332 0.5000 0.2199 [2 per cell]
Fe2 0.4183 0.2379 0.7197 [4 per cell]
O1 0.0012 0.0000 0.8124 [2 per cell]
O2 0.0044 0.0000 0.3168 [2 per cell]
O3 0.0237 0.5000 0.3438 [2 per cell]
O4 0.0861 0.2484 0.6056 [4 per cell]
O5 0.1668 0.0000 0.1046 [2 per cell]
O6 0.1689 0.5000 0.1113 [2 per cell]
O7 0.2458 0.2774 0.3448 [4 per cell]
O8 0.2629 0.2207 0.8440 [4 per cell]
O9 0.3352 0.0000 0.6090 [2 per cell]
O10 0.3406 0.5000 0.6107 [2 per cell]
O11 0.4211 0.2547 0.1076 [4 per cell]
O12 0.4869 0.0000 0.8456 [2 per cell]

=====

No. 19
Tl4GeS4 | GGA-PBEsol | relaxed

uncorrected formation energy: -0.38 eV/atom

a = 12.4525 Å, b = 11.1176 Å, c = 7.5493 Å
α = 90.00°, β = 112.74°, γ = 90.00°
Space group Cc (No. 9)
Asymmetric unit:
Tl1 0.0000 0.0050 0.0000 [4 per cell]
Tl2 0.1956 0.3845 0.0859 [4 per cell]
Tl3 0.3303 0.1301 0.0061 [4 per cell]
Tl4 0.4056 0.2126 0.5299 [4 per cell]
Ge1 0.1201 0.2916 0.5493 [4 per cell]
S1 0.0156 0.4428 0.3695 [4 per cell]
S2 0.0349 0.2169 0.7349 [4 per cell]
S3 0.1474 0.1468 0.3674 [4 per cell]
S4 0.2930 0.3606 0.7440 [4 per cell]

=====

No. 20
BaTeMo2O9 | GGA-PBEsol | relaxed

uncorrected formation energy: -2.01 eV/atom

a = 5.4961 Å, b = 7.4465 Å, c = 8.8061 Å
α = 90.00°, β = 90.62°, γ = 90.00°
Space group P2_1 (No. 4)
Asymmetric unit:
Ba1 0.2277 0.0000 0.4342 [2 per cell]
Te1 0.1255 0.7379 0.9180 [2 per cell]
Mo1 0.2777 0.4759 0.2690 [2 per cell]
Mo2 0.2832 0.2966 0.8249 [2 per cell]
O1 0.0105 0.8555 0.6977 [2 per cell]
O2 0.0378 0.5166 0.8281 [2 per cell]
O3 0.0522 0.6568 0.1294 [2 per cell]
O4 0.2081 0.3191 0.0574 [2 per cell]
O5 0.2111 0.2791 0.6317 [2 per cell]
O6 0.2757 0.6275 0.4190 [2 per cell]
O7 0.4673 0.0916 0.8569 [2 per cell]
O8 0.4809 0.3132 0.3335 [2 per cell]
O9 0.4840 0.9520 0.1685 [2 per cell]

=====

No. 21
TeAs3N | GGA-PBEsol | relaxed

uncorrected formation energy: 0.64 eV/atom

a = 4.4311 Å, b = 4.4311 Å, c = 4.4311 Å
α = 90.00°, β = 90.00°, γ = 90.00°
Space group Pm-3m (No. 221)
Asymmetric unit:
Te1 0.0000 0.0000 0.0000 [1 per cell]
As1 0.0000 0.5000 0.5000 [3 per cell]
N1 0.5000 0.5000 0.5000 [1 per cell]

=====

No. 22
TaHgB2Mo | GGA-PBEsol | relaxed

ΔH_f (0 K): 1.838 eV per atom

a = 4.2033 Å, b = 4.2033 Å, c = 5.1015 Å
α = 90.00°, β = 90.00°, γ = 90.00°
Space group P4/mmm (No. 123)
Asymmetric unit:
Ta1 0.0000 0.0000 0.0000 [1 per cell]
Hg1 0.0000 0.0000 0.5000 [1 per cell]
B1 0.0000 0.5000 0.0000 [2 per cell]
Mo1 0.5000 0.5000 0.5000 [1 per cell]

=====

no.,magnetic moment (μB per formula unit)
1,0.1
2,0.0
3,0.0
4,0.0
5,0.0
6,0.0
7,0.0
8,2.0
9,0.0
10,0.0
11,0.0
12,0.0
13,0.0
14,0.0
15,20.8
16,1.0
17,0.2
18,18.5
19,0.0
20,0.0
21,0.0
22,2.7